Record 1
Compound: AlRe2Si
Source: the Alexandria database
Functional: PBE-GGA
Structure: optimized geometry

ΔE_f (raw) (meV/atom): -34.3

abc: 8.4201 8.4201 8.4201
angles: 19.39 19.39 19.39
Closest atoms and distances in Å follow each position.
Element x y z (fractional)
Al 0.7500 0.7500 0.7500  6 Re 2.72, 6 Al 2.84
Si 0.2500 0.2500 0.2500  6 Re 2.55, 6 Si 2.84
Re 0.9955 0.9955 0.9955  3 Si 2.55, 3 Al 2.72, 6 Re 2.84
Re 0.5045 0.5045 0.5045  3 Si 2.55, 3 Al 2.72, 6 Re 2.84


Record 2
Compound: LiThSnN
Source: the Alexandria database
Functional: PBE-GGA
Structure: optimized geometry

ΔE_f (raw) (meV/atom): -846.8

abc: 3.3330 3.3330 7.5519
angles: 102.75 102.75 90.00
Closest atoms and distances in Å follow each position.
Element x y z (fractional)
Th 0.6187 0.6187 0.2373  4 N 2.45
Sn 0.9252 0.9252 0.8505  4 Li 2.94
N 0.1650 0.1650 0.3301  1 Li 1.98
Li 0.3032 0.3032 0.6063  1 N 1.98


Record 3
Compound: LaZrAs
Source: the Alexandria database
Functional: PBE-GGA
Structure: optimized geometry

E (eV per atom): -5.572

abc: 5.0727 5.0727 5.0727
angles: 60.00 60.00 60.00
Closest atoms and distances in Å follow each position.
Element x y z (fractional)
As 0.5000 0.5000 0.5000  4 La 3.11
La 0.7500 0.7500 0.7500  4 Zr 3.11, 4 As 3.11
Zr 0.0000 0.0000 0.0000  4 La 3.11


Record 4
Compound: SrDyTe2O8
Source: the Alexandria database
Functional: PBE-GGA
Structure: optimized geometry

ΔE_f (raw) (meV/atom): -1832.2

abc: 5.4053 5.4053 6.9734
angles: 112.80 112.80 90.00
Closest atoms and distances in Å follow each position.
Element x y z (fractional)
O 0.3115 0.9139 0.3126  1 Te 1.96
Te 0.5000 0.5000 0.0000  4 O 1.87
Sr 0.7500 0.2500 0.5000  8 O 2.53-2.59
O 0.0010 0.3987 0.3126  1 Te 1.96
O 0.0861 0.9990 0.6874  1 Te 1.96
Te 0.2500 0.7500 0.5000  4 O 1.96
O 0.4068 0.3396 0.1619  1 Te 1.87
O 0.6013 0.6885 0.6874  1 Te 1.96
Dy 0.0000 0.0000 0.0000  8 O 2.40-2.44
O 0.6604 0.2449 0.8381  1 Te 1.87
O 0.1777 0.5932 0.8381  1 Te 1.87
O 0.7551 0.8223 0.1619  1 Te 1.87


Record 5
Compound: Ag2C
Source: the Alexandria database
Functional: PBE-GGA
Structure: optimized geometry

E (eV per atom): -3.381

abc: 10.8913 10.8913 10.8913
angles: 164.76 164.76 21.61
Closest atoms and distances in Å follow each position.
Element x y z (fractional)
C 0.0000 0.0000 0.0000  8 Ag 2.49
Ag 0.1837 0.6837 0.5000  4 C 2.49
Ag 0.5663 0.5663 0.0000  4 C 2.49
Ag 0.3163 0.8163 0.5000  4 C 2.49
Ag 0.4337 0.4337 0.0000  4 C 2.49
C 0.7500 0.2500 0.5000  8 Ag 2.49


Record 6
Compound: SmCd4Pd
Source: the Alexandria database
Functional: PBE-GGA
Structure: optimized geometry

E (eV per atom): -2.528

abc: 5.5806 7.4720 7.8240
angles: 118.52 103.53 90.00
Closest atoms and distances in Å follow each position.
Element x y z (fractional)
Pd 0.7536 0.5654 0.1309  6 Cd 2.72-2.99, 1 Sm 2.90, 1 Pd 2.92
Cd 0.5696 0.3118 0.2429  1 Pd 2.72, 2 Cd 2.84-2.97
Cd 0.0000 0.2062 0.0000  2 Pd 2.86, 5 Cd 3.08-3.17
Cd 0.4304 0.6882 0.7571  1 Pd 2.72, 2 Cd 2.84-2.97
Cd 0.5696 0.9311 0.2429  1 Pd 2.72, 2 Cd 2.84-2.97
Sm 0.1403 0.2166 0.4332  1 Pd 2.90, 1 Cd 3.23
Cd 0.7338 0.3459 0.6919  2 Pd 2.79-2.99, 2 Cd 2.97
Cd 0.2662 0.6541 0.3081  2 Pd 2.79-2.99, 2 Cd 2.97
Sm 0.8597 0.7834 0.5668  1 Pd 2.90, 1 Cd 3.23
Pd 0.2464 0.4346 0.8691  6 Cd 2.72-2.99, 1 Sm 2.90, 1 Pd 2.92
Cd 0.0000 0.7938 0.0000  2 Pd 2.86, 5 Cd 3.08-3.17
Cd 0.4304 0.0689 0.7571  1 Pd 2.72, 2 Cd 2.84-2.97


Record 7
Compound: LiSn2Ir
Source: the Alexandria database
Functional: PBE-GGA
Structure: optimized geometry

E (eV per atom): -4.855

abc: 3.2086 3.2086 7.8546
angles: 90.00 90.00 90.00
Closest atoms and distances in Å follow each position.
Element x y z (fractional)
Ir 0.5000 0.5000 0.0000  8 Sn 2.86
Sn 0.0000 0.0000 0.7793  4 Ir 2.86, 4 Li 3.16
Li 0.5000 0.5000 0.5000  8 Sn 3.16, 4 Li 3.21
Sn 0.0000 0.0000 0.2207  4 Ir 2.86, 4 Li 3.16


Record 8
Compound: ZnSi4Ge2
Source: the Alexandria database
Functional: PBE-GGA
Structure: optimized geometry

ΔE_f (raw) (meV/atom): 816.0

abc: 4.5828 4.5828 7.5866
angles: 72.42 72.42 90.00
Closest atoms and distances in Å follow each position.
Element x y z (fractional)
Si 0.7893 0.7893 0.4214  1 Ge 2.41
Zn 0.0000 0.0000 0.0000  4 Si 2.29
Ge 0.3860 0.3860 0.2280  1 Si 2.41
Si 0.2107 0.2107 0.5786  1 Ge 2.41
Si 0.0000 0.5000 0.0000  2 Zn 2.29
Ge 0.6140 0.6140 0.7720  1 Si 2.41
Si 0.5000 0.0000 0.0000  2 Zn 2.29


no.,magnetic moment (μB per formula unit)
1,0.00
2,0.00
3,3.86
4,0.84
5,0.00
6,0.00
7,0.49
8,0.00